1.
Here is crystalline Ac2ZnAs3Pt4 at its relaxed geometry from Alexandria via LeMat-Bulk. Energies are from PBE.

POSCAR file:
```
Ac2ZnAs3Pt4
1.0
-2.2467 3.4168 -1.8922
-3.4069 -0.6470 2.8769
4.3305 6.4966 6.5894
Pt Zn As Ac
4 1 3 2
direct
0.0000 0.0000 0.0000 Pt
0.5000 0.0000 0.6214 Pt
0.5000 0.5000 0.0000 Pt
0.0000 0.5000 0.3786 Pt
0.5000 0.5000 0.5000 Zn
0.0000 0.5000 0.1305 As
0.5000 0.0000 0.8695 As
0.0000 0.0000 0.5000 As
0.0000 0.5000 0.7538 Ac
0.5000 0.0000 0.2462 Ac
```

The value obtained for the electronic total energy is -5.6677 eV per atom. The space group is No. 115. Its density is 12.20 Mg/m³. For the density of states at the Fermi level, the calculation gives 5.084 states/eV/f.u. The formation energy is -0.907 eV per atom.


2.
Here is crystalline PmMgSnRh at its relaxed geometry from Alexandria via LeMat-Bulk. Energies are from PBE.

POSCAR file:
```
PmMgSnRh
1.0
4.8753 0.0000 0.0000
2.4377 4.2222 0.0000
2.4377 1.4074 3.9807
Mg Pm Rh Sn
1 1 1 1
direct
0.0000 0.0000 0.0000 Mg
0.7500 0.7500 0.7500 Pm
0.5000 0.5000 0.5000 Rh
0.2500 0.2500 0.2500 Sn
```

The value obtained for the electronic total energy is -4.9645 eV per atom. The space group is No. 216. Its density is 7.92 Mg/m³. For the density of states at the Fermi level, the calculation gives 0.528 states/eV/f.u. The formation energy is -0.540 eV per atom.


3.
Here is crystalline MgCr2Ge2 at its relaxed geometry from Alexandria via LeMat-Bulk. Energies are from PBE.

POSCAR file:
```
MgCr2Ge2
1.0
4.5158 0.0000 0.0000
0.0000 4.5158 0.0000
2.2579 2.2579 4.0398
Ge Mg Cr
2 1 2
direct
0.2500 0.7500 0.5000 Ge
0.7500 0.2500 0.5000 Ge
0.0000 0.0000 0.0000 Mg
0.3824 0.3824 0.2352 Cr
0.6176 0.6176 0.7648 Cr
```

The value obtained for the electronic total energy is -5.7494 eV per atom. The space group is No. 139. Its density is 5.51 Mg/m³. For the density of states at the Fermi level, the calculation gives 2.240 states/eV/f.u. The formation energy is 0.266 eV per atom.


4.
Here is crystalline Sm8HgBi3Te4 at its relaxed geometry from Alexandria via LeMat-Bulk. Energies are from PBE.

POSCAR file:
```
Sm8HgBi3Te4
1.0
8.9755 0.0000 0.0000
0.0000 8.9765 -0.0053
-4.4878 -4.4835 6.3498
Sm Te Hg Bi
8 4 1 3
direct
0.2452 0.7451 0.9998 Sm
0.2454 0.2549 0.0002 Sm
0.2453 0.7451 0.4905 Sm
0.7546 0.7451 0.9998 Sm
0.7489 0.7467 0.4978 Sm
0.7547 0.2549 0.5095 Sm
0.7548 0.2549 0.0002 Sm
0.2511 0.2533 0.5022 Sm
0.5000 0.0000 0.0000 Te
0.0000 0.0000 0.5000 Te
0.5000 0.0000 0.5000 Te
0.0000 0.0000 0.0000 Te
0.0000 0.5000 0.0000 Hg
0.5000 0.5000 0.0000 Bi
0.5000 0.5000 0.5000 Bi
0.0000 0.5000 0.5000 Bi
```

The value obtained for the electronic total energy is -4.9993 eV per atom. The space group is No. 166. Its density is 8.25 Mg/m³. For the density of states at the Fermi level, the calculation gives 7.322 states/eV/f.u. For the uncorrected formation energy, the calculation gives -1.11 eV per atom.


5.
Here is crystalline BaLiAl2 at its relaxed geometry from Alexandria via LeMat-Bulk. Energies are from PBE.

POSCAR file:
```
BaLiAl2
1.0
4.5826 -0.0036 0.0018
2.2959 3.9660 0.0017
2.2927 1.3206 6.1884
Al Ba Li
2 1 1
direct
0.9420 0.9420 0.1742 Al
0.5580 0.5580 0.3258 Al
0.7500 0.7500 0.7500 Ba
0.2500 0.2500 0.2500 Li
```

The value obtained for the electronic total energy is -2.9697 eV per atom. The space group is No. 166. Its density is 2.93 Mg/m³. For the density of states at the Fermi level, the calculation gives 3.637 states/eV/f.u. The calculation puts the energy relative to the lowest polymorph listed for this composition at 38.6 meV/atom. The formation energy is -0.139 eV per atom.


6.
Here is crystalline Li2TbHoHg4 at its relaxed geometry from Alexandria via LeMat-Bulk. Energies are from PBE.

POSCAR file:
```
Li2TbHoHg4
1.0
-2.0785 -4.4684 0.9601
-0.3330 -3.4470 -3.6354
6.5432 -5.5976 1.2411
Li Hg Tb Ho
2 4 1 1
direct
0.7503 0.7503 0.7490 Li
0.2497 0.2497 0.2510 Li
0.8745 0.8745 0.3765 Hg
0.6243 0.6243 0.1272 Hg
0.1255 0.1255 0.6235 Hg
0.3757 0.3757 0.8728 Hg
0.0000 0.0000 0.0000 Tb
0.5000 0.5000 0.5000 Ho
```

The value obtained for the electronic total energy is -2.2196 eV per atom. The space group is No. 166. Its density is 10.57 Mg/m³. For the density of states at the Fermi level, the calculation gives 5.805 states/eV/f.u. The formation energy is -0.439 eV per atom.


7.
Here is crystalline In2PtSe at its relaxed geometry from Alexandria via LeMat-Bulk. Energies are from PBE.

POSCAR file:
```
In2PtSe
1.0
4.1753 0.0000 0.0000
0.0000 6.0805 0.0000
0.0000 0.0000 3.6276
Pt In Se
1 2 1
direct
0.5000 0.0000 0.5000 Pt
0.5000 0.5000 0.0000 In
0.0000 0.0000 0.0000 In
0.0000 0.5000 0.5000 Se
```

The value obtained for the electronic total energy is -3.8318 eV per atom. The space group is No. 47. Its density is 9.08 Mg/m³. For the density of states at the Fermi level, the calculation gives 1.575 states/eV/f.u. For the uncorrected formation energy, the calculation gives -0.08 eV per atom.


8.
Here is crystalline AlTe3 at its relaxed geometry from Alexandria via LeMat-Bulk. Energies are from PBE.

POSCAR file:
```
AlTe3
1.0
-1.7123 -3.2870 -1.7417
0.3296 -1.9722 3.3981
-7.1625 2.5721 2.1874
Te Al
3 1
direct
0.5000 0.5000 0.9021 Te
0.0000 0.5000 0.3162 Te
0.5000 0.0000 0.4424 Te
0.0000 0.0000 0.0060 Al
```

The value obtained for the electronic total energy is -3.2217 eV per atom. The space group is No. 25. Its density is 5.32 Mg/m³. For the density of states at the Fermi level, the calculation gives 1.181 states/eV/f.u. For the uncorrected formation energy, the calculation gives 0.07 eV per atom.


9.
Here is crystalline CrPb at its relaxed geometry from Alexandria via LeMat-Bulk. Energies are from PBE.

POSCAR file:
```
CrPb
1.0
2.0100 -3.4814 0.0000
2.0100 3.4814 0.0000
0.0000 0.0000 13.3601
Pb Cr
4 4
direct
0.3333 0.6667 0.1022 Pb
0.6667 0.3333 0.8978 Pb
0.3333 0.6667 0.3978 Pb
0.6667 0.3333 0.6022 Pb
0.6667 0.3333 0.2500 Cr
0.0000 0.0000 0.7500 Cr
0.0000 0.0000 0.2500 Cr
0.3333 0.6667 0.7500 Cr
```

The value obtained for the electronic total energy is -6.1339 eV per atom. The space group is No. 194. Its density is 9.21 Mg/m³. For the density of states at the Fermi level, the calculation gives 1.226 states/eV/f.u. The formation energy is 0.532 eV per atom.


10.
Here is crystalline K2ZrNpSe4 at its relaxed geometry from Alexandria via LeMat-Bulk. Energies are from PBE.

POSCAR file:
```
K2ZrNpSe4
1.0
-3.0229 2.5019 -1.1508
-3.4760 -1.4481 5.9824
4.7233 6.4058 1.5195
K Np Se Zr
2 1 4 1
direct
0.5000 0.0000 0.5000 K
0.0000 0.5000 0.5000 K
0.0000 0.0000 0.0000 Np
0.5000 0.2485 0.2076 Se
0.0000 0.7226 0.2028 Se
0.0000 0.2774 0.7972 Se
0.5000 0.7515 0.7924 Se
0.5000 0.5000 0.0000 Zr
```

The value obtained for the electronic total energy is -5.9938 eV per atom. The space group is No. 10. Its density is 5.35 Mg/m³. For the density of states at the Fermi level, the calculation gives 10.508 states/eV/f.u. For the uncorrected formation energy, the calculation gives -1.29 eV per atom.


11.
Here is crystalline Zn2SiAg at its relaxed geometry from Alexandria via LeMat-Bulk. Energies are from PBE.

POSCAR file:
```
Zn2SiAg
1.0
-4.5568 -5.2646 6.7754
-4.3856 -7.2131 4.8087
-2.2640 -6.8093 6.5494
Ag Si Zn
1 1 2
direct
0.2500 0.2500 0.2500 Ag
0.7500 0.7500 0.7500 Si
0.9987 0.9987 0.9987 Zn
0.5013 0.5013 0.5013 Zn
```

The value obtained for the electronic total energy is -2.5595 eV per atom. The space group is No. 166. Its density is 6.94 Mg/m³. For the density of states at the Fermi level, the calculation gives 0.851 states/eV/f.u. For the uncorrected formation energy, the calculation gives 0.15 eV per atom.


12.
Here is crystalline Ni4HgPb at its relaxed geometry from Alexandria via LeMat-Bulk. Energies are from PBE.

POSCAR file:
```
Ni4HgPb
1.0
0.0000 3.5533 3.5533
3.5533 0.0000 3.5533
3.5533 3.5533 0.0000
Hg Ni Pb
1 4 1
direct
0.0000 0.0000 0.0000 Hg
0.6252 0.1244 0.6252 Ni
0.1244 0.6252 0.6252 Ni
0.6252 0.6252 0.6252 Ni
0.6252 0.6252 0.1244 Ni
0.2500 0.2500 0.2500 Pb
```

The value obtained for the electronic total energy is -4.3001 eV per atom. The space group is No. 216. Its density is 11.89 Mg/m³. For the density of states at the Fermi level, the calculation gives 7.799 states/eV/f.u. The formation energy is 0.222 eV per atom.


Q: Which value of electronic total energy does entry 9 give?
A: -6.1339 eV per atom